Entry 1:
Compound: Co3WBr
Source: Alexandria
Functional: GGA-PBE
Structure: relaxed

Structure (POSCAR):
```
Co3WBr
1.0
4.247 0.000 0.000
0.000 4.247 0.000
0.000 0.000 4.247
Co W Br
3 1 1
Cartesian
0.000 0.000 2.124
0.000 2.124 0.000
2.124 0.000 0.000
2.124 2.124 2.124
0.000 0.000 0.000
```

## Properties
Magnetization: 3.81 μB per formula unit
Raw formation energy: 37.4 kcal/mol of atoms
Fermi-level density of states: 5.173 states/eV per cell
Energy above the lowest structure with this stoichiometry: 0 meV/atom

Entry 2:
Compound: LiSm2Pb
Source: Alexandria
Functional: GGA-PBE
Structure: relaxed

Structure (POSCAR):
```
LiSm2Pb
1.0
5.008 0.000 0.000
0.000 5.008 0.000
0.000 0.000 4.422
Li Sm Pb
1 2 1
Cartesian
0.000 0.000 0.000
0.000 2.504 2.211
2.504 0.000 2.211
2.504 2.504 0.000
```

## Properties
Energy of formation from the pure elements: -316 meV/atom
Magnetization: 0.00 μB per formula unit
Fermi-level density of states: 3.777 states/eV per cell